(1)
A relaxed Nd6In2Cu crystal, computed with PBE.

DOS at the Fermi energy = 1.2824 states/eV per atom
Symmetry = P-62m, No. 189
DFT formation energy = -0.22 eV per atom

Cell lengths 4.417, 8.445, 8.446 Å; angles 119.99, 90.00, 90.00 degrees
Sites, in units of the cell vectors:
In1 0.000 0.666 0.333
In2 0.000 0.333 0.667
Nd1 0.000 0.000 0.245
Nd2 0.000 0.244 0.000
Nd3 0.500 0.000 0.587
Nd4 0.500 0.588 0.000
Nd5 0.500 0.413 0.413
Nd6 0.000 0.756 0.755
Cu1 0.500 0.000 0.000

=====

(2)
A relaxed BaIr2W crystal, computed with PBE.

DOS at the Fermi energy = 0.8093 states/eV per atom
Symmetry = Cm, No. 8
DFT formation energy = 0.17 eV per atom

Cell lengths 4.325, 4.325, 6.789 Å; angles 71.84, 71.84, 59.94 degrees
Sites, in units of the cell vectors:
Ir1 0.052 0.052 0.849
Ir2 0.783 0.783 0.650
W1 0.425 0.425 0.727
Ba1 0.239 0.239 0.274

=====

(3)
A relaxed LiPu2SnS4 crystal, computed with PBE.

Raw formation energy = -1236.1 meV/atom
DOS at the Fermi energy = 3.0045 states/eV per atom
Symmetry = P2/m, No. 10

Cell lengths 4.043, 6.961, 7.026 Å; angles 70.19, 90.00, 90.00 degrees
Each line ends with the local moment (μB).
Sites, in units of the cell vectors:
S1 0.000 0.760 0.750  -0.03
S2 0.000 0.240 0.250  -0.03
S3 0.500 0.765 0.236  0.03
S4 0.500 0.235 0.764  0.03
Pu1 0.000 0.000 0.000  -5.19
Pu2 0.500 0.000 0.500  5.21
Li1 0.500 0.500 0.000  0.00
Sn1 0.000 0.500 0.500  0.00

=====

(4)
A relaxed TbDy6Er2 crystal, computed with PBE.

DOS at the Fermi energy = 1.3529 states/eV per atom
Symmetry = P-1, No. 2
DFT formation energy = 0.02 eV per atom

Cell lengths 3.530, 8.634, 12.710 Å; angles 132.77, 82.02, 90.07 degrees
Sites, in units of the cell vectors:
Tb1 0.000 0.000 0.000
Dy1 0.667 0.667 0.667
Dy2 0.111 0.445 0.778
Dy3 0.333 0.333 0.333
Dy4 0.222 0.890 0.556
Dy5 0.889 0.555 0.222
Dy6 0.778 0.110 0.444
Er1 0.444 0.777 0.111
Er2 0.556 0.223 0.889

=====

(5)
A relaxed BMoSeBr2 crystal, computed with PBE.

Raw formation energy = 1055.7 meV/atom
DOS at the Fermi energy = 0.6242 states/eV per atom
Symmetry = P4/mmm, No. 123

Cell lengths 4.550, 4.550, 4.872 Å; angles 90.00, 90.00, 90.00 degrees
Each line ends with the local moment (μB).
Sites, in units of the cell vectors:
Br1 0.000 0.500 0.000  0.01
Br2 0.500 0.000 0.000  0.01
Mo1 0.500 0.500 0.500  3.45
Se1 0.000 0.000 0.500  -0.15
B1 0.000 0.000 0.000  -0.03

=====

(6)
A relaxed Rb2ZrI crystal, computed with PBE.

Raw formation energy = 391.2 meV/atom
DOS at the Fermi energy = 1.2929 states/eV per atom
Symmetry = I-42d, No. 122

Cell lengths 13.060, 13.060, 9.663 Å; angles 47.49, 47.49, 90.00 degrees
Each line ends with the local moment (μB).
Sites, in units of the cell vectors:
Rb1 0.988 0.625 0.250  0.02
Rb2 0.375 0.238 0.750  0.02
Rb3 0.875 0.012 0.750  0.02
Rb4 0.762 0.125 0.250  0.02
I1 0.750 0.250 0.500  -0.01
I2 0.000 0.000 0.000  -0.01
Zr1 0.500 0.500 0.000  1.52
Zr2 0.250 0.750 0.500  1.52

=====

(7)
A relaxed Ba2NbAlSn crystal, computed with PBE.

DOS at the Fermi energy = 1.1792 states/eV per atom
Symmetry = P4/mmm, No. 123
DFT formation energy = 0.57 eV per atom

Cell lengths 6.358, 5.010, 6.358 Å; angles 90.00, 90.00, 90.00 degrees
Each line ends with the local moment (μB).
Sites, in units of the cell vectors:
Al1 0.000 0.000 0.000  -0.03
Sn1 0.500 0.500 0.500  -0.15
Ba1 0.000 0.000 0.500  0.01
Ba2 0.500 0.000 0.000  -0.01
Nb1 0.000 0.500 0.000  1.76

=====

(8)
A relaxed CdBi2PbO6 crystal, computed with PBE.

Raw formation energy = -1083.7 meV/atom
Symmetry = R3, No. 146

Cell lengths 6.005, 6.005, 6.150 Å; angles 60.77, 60.78, 59.99 degrees
Sites, in units of the cell vectors:
Cd1 0.801 0.801 0.597
Bi1 0.022 0.022 0.933
Bi2 0.523 0.523 0.432
O1 0.180 0.962 0.245
O2 0.962 0.613 0.245
O3 0.613 0.180 0.245
O4 0.136 0.437 0.750
O5 0.437 0.678 0.750
O6 0.678 0.136 0.750
Pb1 0.310 0.310 0.069

=====

(9)
A relaxed LaPr9Sc2 crystal, computed with PBE.

DOS at the Fermi energy = 1.6823 states/eV per atom
Symmetry = P4/mmm, No. 123
DFT formation energy = 0.04 eV per atom

Cell lengths 5.133, 5.133, 15.520 Å; angles 90.00, 90.00, 90.00 degrees
Sites, in units of the cell vectors:
Pr1 0.000 0.500 0.175
Pr2 0.500 0.500 0.338
Pr3 0.000 0.500 0.825
Pr4 0.500 0.000 0.175
Pr5 0.500 0.000 0.825
Pr6 0.500 0.500 0.000
Pr7 0.000 0.500 0.500
Pr8 0.500 0.000 0.500
Pr9 0.500 0.500 0.662
Sc1 0.000 0.000 0.663
Sc2 0.000 0.000 0.337
La1 0.000 0.000 0.000

=====

(10)
A relaxed SrOs2Ru crystal, computed with PBE.

DOS at the Fermi energy = 1.1755 states/eV per atom
Symmetry = Pmmm, No. 47
DFT formation energy = 0.69 eV per atom

Cell lengths 2.779, 3.759, 7.191 Å; angles 90.00, 90.00, 90.00 degrees
Sites, in units of the cell vectors:
Sr1 0.500 0.500 0.750
Os1 0.000 0.000 0.072
Os2 0.000 0.000 0.428
Ru1 0.500 0.500 0.250

=====

(11)
A relaxed Zr3VFe8 crystal, computed with PBE.

DOS at the Fermi energy = 0.9595 states/eV per atom
Symmetry = R3m, No. 160
DFT formation energy = -0.21 eV per atom

Cell lengths 4.910, 4.910, 8.516 Å; angles 73.25, 73.25, 60.00 degrees
Each line ends with the local moment (μB).
Sites, in units of the cell vectors:
Zr1 0.503 0.503 0.491  -0.44
Zr2 0.376 0.376 0.873  -0.47
Zr3 0.996 0.996 0.011  -0.43
Fe1 0.938 0.440 0.684  1.90
Fe2 0.688 0.688 0.937  1.92
Fe3 0.937 0.436 0.191  1.84
Fe4 0.188 0.188 0.436  1.84
Fe5 0.938 0.938 0.684  1.90
Fe6 0.436 0.937 0.191  1.84
Fe7 0.440 0.938 0.684  1.90
Fe8 0.436 0.436 0.191  1.84
V1 0.874 0.874 0.379  -1.75

=====

(12)
A relaxed TeP2RuCl crystal, computed with PBE.

Raw formation energy = 358.4 meV/atom
DOS at the Fermi energy = 0.8234 states/eV per atom
Symmetry = P4/mmm, No. 123

Cell lengths 4.642, 4.642, 4.759 Å; angles 90.00, 90.00, 90.00 degrees
Sites, in units of the cell vectors:
P1 0.000 0.500 0.000
P2 0.500 0.000 0.000
Cl1 0.000 0.000 0.500
Te1 0.500 0.500 0.500
Ru1 0.000 0.000 0.000

=====

For reference, raw total energy by record: -40.149 -31.925 -60.979 -41.209 -19.060 -10.469 -18.825 -52.971 -60.168 -30.672 -104.970 -23.292 eV per formula unit.
For reference, size of the total moment by record: 0.00 0.00 0.03 0.00 3.86 6.36 2.03 0.00 0.00 0.00 10.98 0.00 Bohr magnetons per cell.